1.
KNbF6 | PBE-GGA | optimized geometry

uncorrected formation energy = -3.11 eV per atom
E_tot = -5.904 eV per atom

Structure (POSCAR):
```
KNbF6
1.0
5.345 0.000 0.000
0.000 5.345 0.000
0.000 0.000 9.993
K Nb F
2 2 12
Direct
0.000 0.000 0.250 K
0.000 0.000 0.750 K
0.500 0.500 0.000 Nb
0.500 0.500 0.500 Nb
0.243 0.243 0.000 F
0.243 0.757 0.500 F
0.318 0.318 0.364 F
0.318 0.318 0.636 F
0.318 0.682 0.136 F
0.318 0.682 0.864 F
0.682 0.318 0.136 F
0.682 0.318 0.864 F
0.682 0.682 0.364 F
0.682 0.682 0.636 F
0.757 0.243 0.500 F
0.757 0.757 0.000 F
```


2.
Pr2Al2Ag3 | PBE-GGA | optimized geometry

E_tot = -3.948 eV per atom
formation energy = -291 meV per atom
energy above the lowest structure with this stoichiometry = 0.030 eV/atom

Structure (POSCAR):
```
Pr2Al2Ag3
1.0
2.205 -10.034 0.000
2.205 10.034 0.000
0.000 0.000 7.316
Pr Al Ag
4 4 6
Direct
0.059 0.941 0.750 Pr
0.155 0.845 0.250 Pr
0.845 0.155 0.750 Pr
0.941 0.059 0.250 Pr
0.306 0.694 0.059 Al
0.306 0.694 0.441 Al
0.694 0.306 0.559 Al
0.694 0.306 0.941 Al
0.224 0.776 0.750 Ag
0.436 0.564 0.558 Ag
0.436 0.564 0.942 Ag
0.564 0.436 0.058 Ag
0.564 0.436 0.442 Ag
0.776 0.224 0.250 Ag
```


3.
Mo2HIr2 | PBE-GGA | optimized geometry

E_tot = -8.055 eV per atom

Structure (POSCAR):
```
Mo2HIr2
1.0
7.549 0.000 0.000
0.000 7.549 0.000
0.000 0.000 2.777
Mo H Ir
4 2 4
Direct
0.168 0.332 0.000 Mo
0.332 0.832 0.000 Mo
0.668 0.168 0.000 Mo
0.832 0.668 0.000 Mo
0.000 0.000 0.000 H
0.500 0.500 0.000 H
0.127 0.627 0.500 Ir
0.373 0.127 0.500 Ir
0.627 0.873 0.500 Ir
0.873 0.373 0.500 Ir
```


4.
Nd8Dy4Ho | PBE-GGA | optimized geometry

E_tot = -4.239 eV per atom
formation energy = 463 meV per atom

Structure (POSCAR):
```
Nd8Dy4Ho
1.0
5.587 3.225 4.533
-5.587 3.225 4.533
0.000 -6.451 4.533
Nd Dy Ho
8 4 1
Direct
0.240 0.240 0.240 Nd
0.240 0.240 0.758 Nd
0.240 0.758 0.240 Nd
0.242 0.760 0.760 Nd
0.758 0.240 0.240 Nd
0.760 0.242 0.760 Nd
0.760 0.760 0.242 Nd
0.760 0.760 0.760 Nd
0.000 0.000 0.000 Dy
0.000 0.500 0.500 Dy
0.500 0.000 0.500 Dy
0.500 0.500 0.000 Dy
0.500 0.500 0.500 Ho
```


5.
Li4ScTc | PBE-GGA | optimized geometry

E_tot = -3.755 eV per atom
formation energy = 304 meV per atom

Structure (POSCAR):
```
Li4ScTc
1.0
0.000 3.574 3.574
3.574 0.000 3.574
3.574 3.574 0.000
Li Sc Tc
4 1 1
Direct
0.378 0.378 0.378 Li
0.378 0.378 0.866 Li
0.378 0.866 0.378 Li
0.866 0.378 0.378 Li
0.000 0.000 0.000 Sc
0.750 0.750 0.750 Tc
```


6.
ZnCdAs2O6 | PBE-GGA | optimized geometry

uncorrected formation energy = -1.10 eV per atom
E_tot = -5.226 eV per atom

Structure (POSCAR):
```
ZnCdAs2O6
1.0
5.358 -4.200 0.000
5.358 4.200 0.000
-3.321 0.000 6.087
Zn Cd As O
2 2 4 12
Direct
0.224 0.776 0.750 Zn
0.776 0.224 0.250 Zn
0.166 0.834 0.250 Cd
0.834 0.166 0.750 Cd
0.268 0.342 0.321 As
0.342 0.268 0.821 As
0.658 0.732 0.179 As
0.732 0.658 0.679 As
0.055 0.184 0.195 O
0.169 0.610 0.438 O
0.184 0.055 0.695 O
0.267 0.416 0.066 O
0.390 0.831 0.062 O
0.416 0.267 0.566 O
0.584 0.733 0.434 O
0.610 0.169 0.938 O
0.733 0.584 0.934 O
0.816 0.945 0.305 O
0.831 0.390 0.562 O
0.945 0.816 0.805 O
```